1.
LaNb2O4: relaxed, PBE.

The structure in POSCAR format:
```
LaNb2O4
1.0
-1.4328 2.7278 -5.7936
1.1573 -6.4471 0.3931
-5.5058 2.5050 2.5437
La Nb O
2 4 8
Direct
0.0000 0.0000 0.0000
0.7500 0.5000 0.2500
0.3750 0.7500 0.1250
0.3750 0.2500 0.6250
0.3750 0.7500 0.6250
0.8750 0.2500 0.6250
0.6102 0.2205 0.3897
0.1693 0.7795 0.3897
0.6103 0.7795 0.3898
0.1397 0.2795 0.4193
0.6103 0.2205 0.8307
0.1397 0.7205 0.8602
0.1398 0.2795 0.8603
0.5807 0.7205 0.8603
```

## Properties
Energy (Ha/atom): -0.3154

---

2.
La3NbO7: relaxed, PBE.

The structure in POSCAR format:
```
La3NbO7
1.0
7.7585 0.0000 0.0000
0.0000 11.1436 0.0000
0.0000 0.0000 7.5727
La Nb O
12 4 28
Direct
0.2514 0.5241 0.0508
0.2514 0.9759 0.0508
0.4942 0.2500 0.2270
0.9942 0.2500 0.2730
0.7514 0.5241 0.4492
0.7514 0.9759 0.4492
0.2486 0.0241 0.5508
0.2486 0.4759 0.5508
0.0058 0.7500 0.7270
0.5058 0.7500 0.7730
0.7486 0.0241 0.9492
0.7486 0.4759 0.9492
0.0048 0.7500 0.2475
0.5048 0.7500 0.2525
0.4952 0.2500 0.7475
0.9952 0.2500 0.7525
0.5352 0.6271 0.0519
0.5352 0.8729 0.0519
0.9596 0.6189 0.0796
0.9596 0.8811 0.0796
0.2480 0.7500 0.1769
0.7475 0.1196 0.2241
0.7475 0.3804 0.2241
0.2475 0.1196 0.2759
0.2475 0.3804 0.2759
0.7480 0.7500 0.3231
0.4596 0.6189 0.4204
0.4596 0.8811 0.4204
0.0352 0.6271 0.4481
0.0352 0.8729 0.4481
0.9648 0.1271 0.5519
0.9648 0.3729 0.5519
0.5404 0.1189 0.5796
0.5404 0.3811 0.5796
0.2520 0.2500 0.6769
0.7525 0.6196 0.7241
0.7525 0.8804 0.7241
0.2525 0.6196 0.7759
0.2525 0.8804 0.7759
0.7520 0.2500 0.8231
0.0404 0.1189 0.9204
0.0404 0.3811 0.9204
0.4648 0.1271 0.9481
0.4648 0.3729 0.9481
```

## Properties
Energy (Ha/atom): -0.3194

---

3.
La3NbO7: relaxed, PBE.

The structure in POSCAR format:
```
La3NbO7
1.0
5.5646 -3.7731 0.0000
5.5646 3.7731 0.0000
0.0000 0.0000 7.8026
La Nb O
6 2 14
Direct
0.0000 0.0000 0.0000
0.4774 0.0694 0.2500
0.9306 0.5226 0.2500
0.0000 0.0000 0.5000
0.0694 0.4774 0.7500
0.5226 0.9306 0.7500
0.5000 0.5000 0.0000
0.5000 0.5000 0.5000
0.1852 0.5634 0.0329
0.4366 0.8148 0.0329
0.1068 0.1531 0.2500
0.5653 0.4347 0.2500
0.8469 0.8932 0.2500
0.1852 0.5634 0.4671
0.4366 0.8148 0.4671
0.5634 0.1852 0.5329
0.8148 0.4366 0.5329
0.1531 0.1068 0.7500
0.4347 0.5653 0.7500
0.8932 0.8469 0.7500
0.5634 0.1852 0.9671
0.8148 0.4366 0.9671
```

## Properties
Energy (Ha/atom): -0.3193

---

4.
LaPr2Nb2O6: relaxed, PBE.

The structure in POSCAR format:
```
LaPr2Nb2O6
1.0
-2.0388 2.0388 9.6096
2.0388 -2.0388 9.6096
2.0388 2.0388 -9.6096
La Nb O Pr
1 2 6 2
Direct
0.0000 0.0000 0.0000
0.4305 0.4305 0.0000
0.5695 0.5695 0.0000
0.2941 0.2941 0.0000
0.7059 0.7059 0.0000
0.5955 0.0955 0.5000
0.9045 0.4045 0.5000
0.0955 0.5955 0.5000
0.4045 0.9045 0.5000
0.1790 0.1790 0.0000
0.8210 0.8210 0.0000
```

## Properties
Energy (Ha/atom): -0.3078

---

> Which of these has the lowest energy?

number 2

---

What did the second record say?
La3NbO7: relaxed, PBE.

The structure in POSCAR format:
```
La3NbO7
1.0
7.7585 0.0000 0.0000
0.0000 11.1436 0.0000
0.0000 0.0000 7.5727
La Nb O
12 4 28
Direct
0.2514 0.5241 0.0508
0.2514 0.9759 0.0508
0.4942 0.2500 0.2270
0.9942 0.2500 0.2730
0.7514 0.5241 0.4492
0.7514 0.9759 0.4492
0.2486 0.0241 0.5508
0.2486 0.4759 0.5508
0.0058 0.7500 0.7270
0.5058 0.7500 0.7730
0.7486 0.0241 0.9492
0.7486 0.4759 0.9492
0.0048 0.7500 0.2475
0.5048 0.7500 0.2525
0.4952 0.2500 0.7475
0.9952 0.2500 0.7525
0.5352 0.6271 0.0519
0.5352 0.8729 0.0519
0.9596 0.6189 0.0796
0.9596 0.8811 0.0796
0.2480 0.7500 0.1769
0.7475 0.1196 0.2241
0.7475 0.3804 0.2241
0.2475 0.1196 0.2759
0.2475 0.3804 0.2759
0.7480 0.7500 0.3231
0.4596 0.6189 0.4204
0.4596 0.8811 0.4204
0.0352 0.6271 0.4481
0.0352 0.8729 0.4481
0.9648 0.1271 0.5519
0.9648 0.3729 0.5519
0.5404 0.1189 0.5796
0.5404 0.3811 0.5796
0.2520 0.2500 0.6769
0.7525 0.6196 0.7241
0.7525 0.8804 0.7241
0.2525 0.6196 0.7759
0.2525 0.8804 0.7759
0.7520 0.2500 0.8231
0.0404 0.1189 0.9204
0.0404 0.3811 0.9204
0.4648 0.1271 0.9481
0.4648 0.3729 0.9481
```

## Properties
Energy (Ha/atom): -0.3194

---

> What is the formula in the fourth record?

LaPr2Nb2O6